Compound: LiGa3Pd5
Source: Alexandria via LeMat-Bulk
Functional: PBE
Structure: optimized geometry

Cell and atoms, written as POSCAR:
```
LiGa3Pd5
1.0
4.4043 -3.5585 0.0000
4.4043 3.5585 0.0000
-1.1370 0.0000 9.7774
Li Ga Pd
2 6 10
direct
0.0474 0.0474 0.2583
0.9526 0.9526 0.7417
0.0000 0.0000 0.0000
0.0000 0.0000 0.5000
0.2722 0.2722 0.8693
0.3307 0.3307 0.4810
0.6693 0.6693 0.5190
0.7278 0.7278 0.1307
0.0106 0.6038 0.3427
0.2583 0.2583 0.1204
0.3191 0.6809 0.0000
0.3962 0.9894 0.6573
0.4820 0.4820 0.7094
0.5180 0.5180 0.2906
0.6038 0.0106 0.3427
0.6809 0.3191 0.0000
0.7417 0.7417 0.8796
0.9894 0.3962 0.6573
```

Values from the calculation:
V: 17.03 Å³ per atom
Formation energy: -0.313 eV/atom
Crystal system: monoclinic
E_tot: -4.419 eV per atom
Space-group type: C2/m (12)